[1]
# SiBr2

SiBr2 after structural relaxation (GGA-PBE, the Alexandria database).

Calculated values
Formation energy without anion corrections, meV per atom: -282.1
Magnetization, μB per formula unit: 0.00
DOS(E_F), states/eV/cell: 0.0

Cell: 4.8462 3.7746 6.8888 Å, 90.00 110.23 90.00°
Fractional coordinates of all 3 atoms:
Br  0.7647  0.0000  0.4970
Si  0.8667  0.0000  0.1977
Br  0.5095  0.5000  0.0093

---

[2]
# Mn6AsPd12

Mn6AsPd12 after structural relaxation (GGA-PBE, the Alexandria database).

Calculated values
Magnetization, μB per formula unit: 0.00
Energy relative to the elements, eV per formula unit: 3.01
DOS(E_F), states/eV/cell: 16.6

Cell: 6.6034 6.6034 6.6034 Å, 98.37 98.37 98.37°
Fractional coordinates of all 19 atoms:
Pd  0.8550  0.3331  0.9180
Mn  0.2918  0.5190  0.7080
Mn  0.5190  0.7080  0.2918
Pd  0.3373  0.0629  0.3582
Pd  0.9371  0.6418  0.6627
Pd  0.3582  0.3373  0.0629
As  0.0000  0.0000  0.0000
Pd  0.0820  0.1450  0.6669
Pd  0.9180  0.8550  0.3331
Pd  0.6669  0.0820  0.1450
Pd  0.6418  0.6627  0.9371
Mn  0.4810  0.2920  0.7082
Pd  0.3331  0.9180  0.8550
Pd  0.6627  0.9371  0.6418
Pd  0.1450  0.6669  0.0820
Mn  0.7082  0.4810  0.2920
Mn  0.7080  0.2918  0.5190
Pd  0.0629  0.3582  0.3373
Mn  0.2920  0.7082  0.4810

---

[3]
# BaSc2IrO8

BaSc2IrO8 after structural relaxation (GGA-PBE, the Alexandria database).

Calculated values
Formation energy without anion corrections, meV per atom: -2025.6
Magnetization, μB per formula unit: 1.50
DOS(E_F), states/eV/cell: 6.0

Cell: 4.8018 4.7969 7.2947 Å, 90.00 90.00 90.29°
Each line ends with the local moment (μB).
Fractional coordinates of all 12 atoms:
Sc  0.5000  0.5000  0.2078  0.02
O  0.7067  0.7081  0.0000  0.02
O  0.8031  0.1985  0.8088  0.12
O  0.8030  0.1985  0.1912  0.12
Ir  0.0000  0.0000  0.0000  0.76
O  0.2933  0.2919  0.0000  0.02
O  0.1970  0.8015  0.8088  0.12
O  0.6091  0.6118  0.5000  0.01
O  0.3909  0.3882  0.5000  0.01
Ba  0.0000  0.0000  0.5000  0.01
O  0.1969  0.8015  0.1912  0.12
Sc  0.5000  0.5000  0.7922  0.02

---

[4]
# La2TaAu

La2TaAu after structural relaxation (GGA-PBE, the Alexandria database).

Calculated values
Distance to the lowest polymorph of the same formula, meV per atom: 0.0
Magnetization, μB per formula unit: 0.00
Energy relative to the elements, eV per formula unit: -0.02
DOS(E_F), states/eV/cell: 4.0

Cell: 3.4022 3.4025 9.0049 Å, 90.00 90.00 90.00°
Fractional coordinates of all 4 atoms:
La  0.0000  0.0000  0.9969
La  0.0000  0.0000  0.5031
Au  0.5000  0.5000  0.7500
Ta  0.5000  0.5000  0.2500